10
Lattice="-4.415 -0.804 -6.671 6.706 -1.039 -4.312 -0.168 -3.088 0.483" Properties=species:S:1:pos:R:3 comment="CaGa2Ag2 PBE relaxed" spacegroup=P4/mbm m_tot_mub_per_fu=0.00 final_energy_ev_per_atom=-2.88 delta_e_f_ev_per_atom=-0.131 pbc="T T T"
Ag 0.371 -1.354 -8.523
Ag 1.920 -0.489 -2.460
Ag -1.912 -0.639 -4.751
Ag 4.203 -1.203 -6.232
Ca 0.000 0.000 0.000
Ca 1.145 -0.921 -5.492
Ga 2.576 -2.946 -7.796
Ga -0.453 -1.985 -2.704
Ga -1.525 -2.562 -6.770
Ga 3.648 -2.368 -3.731